RbScOs3 PBEsol relaxed; theoretical density = 11.59 Mg/m³; total DFT energy (no corrections) = -27.55 eV/f.u.; formation enthalpy at 0 K = 3.35 eV per atom
1.0
-1.7902 -4.1820 -0.9581
2.7532 -0.3236 -3.7319
3.2904 -2.0045 2.6014
Os Sc Rb
3 1 1
direct
0.0000 0.0000 0.5000
0.5000 0.0000 0.0000
0.0000 0.5000 0.0000
0.5000 0.5000 0.5000
0.0000 0.0000 0.0000